Record 1
# PBE Nb2Te4MoSe2, relaxed
# - uncorrected energy (eV/cell) = -54.7
# - space group = P3m1
# - formation energy (no corrections) (kJ per mole of atoms) = -45.1
# - volume (Å³/atom) = 27.017
data_Nb2Te4MoSe2
_chemical_formula_sum 'Nb2 Te4 Mo1 Se2'
_symmetry_space_group_name_H-M 'P 1'
_symmetry_Int_Tables_number 1
_cell_length_a 3.536
_cell_length_b 3.536
_cell_length_c 22.450
_cell_angle_alpha 90.00
_cell_angle_beta 90.00
_cell_angle_gamma 120.00
loop_
_symmetry_equiv_pos_as_xyz
'x,y,z'
loop_
_atom_site_label
_atom_site_fract_x
_atom_site_fract_y
_atom_site_fract_z
Nb1 0.000 0.000 0.000
Nb2 0.333 0.667 0.327
Te1 0.000 0.000 0.242
Te2 0.000 0.000 0.413
Te3 0.333 0.667 0.085
Te4 0.333 0.667 0.914
Mo1 0.333 0.667 0.679
Se1 0.000 0.000 0.608
Se2 0.000 0.000 0.751

***

Record 2
# PBE BaCaZnAg, relaxed
# - energy of formation (eV per atom) = -0.23
# - uncorrected energy (eV/cell) = -9.0
# - space group = Amm2
# - volume (Å³/atom) = 32.217
data_BaCaZnAg
_chemical_formula_sum 'Ba1 Ca1 Zn1 Ag1'
_symmetry_space_group_name_H-M 'P 1'
_symmetry_Int_Tables_number 1
_cell_length_a 4.657
_cell_length_b 6.624
_cell_length_c 6.624
_cell_angle_alpha 39.11
_cell_angle_beta 90.00
_cell_angle_gamma 90.00
loop_
_symmetry_equiv_pos_as_xyz
'x,y,z'
loop_
_atom_site_label
_atom_site_fract_x
_atom_site_fract_y
_atom_site_fract_z
Ba1 0.000 0.000 0.000
Ca1 0.500 0.282 0.282
Zn1 0.500 0.599 0.599
Ag1 0.000 0.719 0.719

***

Record 3
# PBE LaPuHg, relaxed
# - energy of formation (eV per atom) = -0.11
# - polymorph energy (0 for the lowest one) (eV per atom) = 0.0000
# - uncorrected energy (eV/cell) = -19.9
# - space group = I4mm
# - volume (Å³/atom) = 29.668
data_LaPuHg
_chemical_formula_sum 'La1 Pu1 Hg1'
_symmetry_space_group_name_H-M 'P 1'
_symmetry_Int_Tables_number 1
_cell_length_a 7.032
_cell_length_b 7.032
_cell_length_c 7.032
_cell_angle_alpha 149.56
_cell_angle_beta 149.56
_cell_angle_gamma 43.59
loop_
_symmetry_equiv_pos_as_xyz
'x,y,z'
loop_
_atom_site_label
_atom_site_fract_x
_atom_site_fract_y
_atom_site_fract_z
La1 0.000 0.000 0.000
Pu1 0.311 0.311 0.000
Hg1 0.663 0.663 0.000

***

no.,total moment (μB per atom),density (g/cm³)
1,0.00,6.5
2,0.00,4.5
3,2.11,10.9